[1]
LiAs3Pd4Pb2: relaxed, PBE.

ΔE_f: -0.343 eV per atom
Total magnetization: 0.0 Bohr magnetons per cell

abc: 4.3209 4.3209 10.4568
angles: 90.00 90.00 90.00
Last column: nearest neighbours and their distance in Å.
Fractional positions:
1 Li 0.0000 0.0000 0.0000  4 Pd 2.56
2 As 0.0000 0.5000 0.3679  5 Pd 2.47-2.56
3 As 0.5000 0.0000 0.6321  5 Pd 2.47-2.56
4 As 0.5000 0.5000 0.0000  4 Pd 2.56
5 Pd 0.0000 0.0000 0.5000  4 As 2.56
6 Pd 0.0000 0.5000 0.1313  3 As 2.47-2.56, 2 Li 2.56
7 Pd 0.5000 0.0000 0.8687  3 As 2.47-2.56, 2 Li 2.56
8 Pd 0.5000 0.5000 0.5000  4 As 2.56
9 Pb 0.0000 0.5000 0.7480  6 As 3.29-3.41, 8 Pd 3.31-3.37, 2 Li 3.41
10 Pb 0.5000 0.0000 0.2520  6 As 3.29-3.41, 8 Pd 3.31-3.37, 2 Li 3.41

=====

[2]
LiAs3Pt12Pb2: relaxed, PBE.

ΔE_f: -0.070 eV per atom
Total magnetization: 0.0 Bohr magnetons per cell

abc: 7.6323 7.6323 7.6323
angles: 65.44 65.44 65.44
Last column: nearest neighbours and their distance in Å.
Fractional positions:
1 Li 0.0000 0.0000 0.0000  6 Pt 2.51
2 As 0.0000 0.0000 0.5000  6 Pt 2.40-2.47
3 As 0.0000 0.5000 0.0000  6 Pt 2.40-2.47
4 As 0.5000 0.0000 0.0000  6 Pt 2.40-2.47
5 Pt 0.1175 0.6295 0.6295  2 As 2.47
6 Pt 0.1381 0.1381 0.6264  1 As 2.40, 1 Li 2.51
7 Pt 0.1381 0.6264 0.1381  1 As 2.40, 1 Li 2.51
8 Pt 0.3705 0.3705 0.8825  2 As 2.47
9 Pt 0.3705 0.8825 0.3705  2 As 2.47
10 Pt 0.3736 0.8619 0.8619  1 As 2.40, 1 Li 2.51
11 Pt 0.6264 0.1381 0.1381  1 As 2.40, 1 Li 2.51
12 Pt 0.6295 0.1175 0.6295  2 As 2.47
13 Pt 0.6295 0.6295 0.1175  2 As 2.47
14 Pt 0.8619 0.3736 0.8619  1 As 2.40, 1 Li 2.51
15 Pt 0.8619 0.8619 0.3736  1 As 2.40, 1 Li 2.51
16 Pt 0.8825 0.3705 0.3705  2 As 2.47
17 Pb 0.3838 0.3838 0.3838  6 Pt 2.76-2.78
18 Pb 0.6162 0.6162 0.6162  6 Pt 2.76-2.78

=====

[3]
LiAs2Pt7Pb2: relaxed, PBE.

ΔE_f: -0.335 eV per atom
Total magnetization: 0.0 Bohr magnetons per cell

abc: 3.9308 3.9308 15.6583
angles: 97.18 97.18 89.96
Last column: nearest neighbours and their distance in Å.
Fractional positions:
1 Li 0.0000 0.0000 0.0000  12 Pt 2.78-2.80
2 As 0.3876 0.3876 0.7724  5 Pt 2.45-2.48
3 As 0.6124 0.6124 0.2276  5 Pt 2.45-2.48
4 Pt 0.0637 0.5641 0.1296  2 As 2.48
5 Pt 0.3066 0.3066 0.6136  1 As 2.45
6 Pt 0.4359 0.9363 0.8704  2 As 2.48
7 Pt 0.5000 0.5000 0.0000  4 Li 2.78, 8 Pt 2.80
8 Pt 0.5641 0.0637 0.1296  2 As 2.48
9 Pt 0.6934 0.6934 0.3864  1 As 2.45
10 Pt 0.9363 0.4359 0.8704  2 As 2.48
11 Pb 0.2115 0.2115 0.4232  5 Pt 2.84-2.93
12 Pb 0.7885 0.7885 0.5768  5 Pt 2.84-2.93

=====

[4]
LiAsRuPb2: relaxed, PBE.

ΔE_f: 0.712 eV per atom
Total magnetization: 0.0 Bohr magnetons per cell

abc: 4.9760 4.9760 4.3603
angles: 90.00 90.00 90.00
Last column: nearest neighbours and their distance in Å.
Fractional positions:
1 Li 0.0000 0.0000 0.0000  2 Ru 2.18
2 As 0.5000 0.5000 0.5000  8 Pb 3.31, 4 Ru 3.52
3 Ru 0.0000 0.0000 0.5000  2 Li 2.18
4 Pb 0.0000 0.5000 0.0000  2 Li 2.49
5 Pb 0.5000 0.0000 0.0000  2 Li 2.49

=====

[5]
LiAs2Pb2S6: relaxed, PBE.

Total magnetization: 0.0 Bohr magnetons per cell
DFT total energy: -4.266 eV per atom

abc: 7.0412 7.0412 7.9100
angles: 112.92 112.92 57.52
Last column: nearest neighbours and their distance in Å.
Fractional positions:
1 Li 0.0000 0.0000 0.0000  4 S 2.59
2 As 0.4450 0.4450 0.1330  3 S 2.22-2.25
3 As 0.5550 0.5550 0.8670  3 S 2.22-2.25
4 Pb 0.1551 0.1551 0.7361  3 S 2.80-2.84
5 Pb 0.8449 0.8449 0.2639  3 S 2.80-2.84
6 S 0.1887 0.7321 0.7156  1 As 2.22
7 S 0.2638 0.2638 0.1368  1 As 2.25
8 S 0.2679 0.8113 0.2844  1 As 2.22
9 S 0.7321 0.1887 0.7156  1 As 2.22
10 S 0.7362 0.7362 0.8632  1 As 2.25
11 S 0.8113 0.2679 0.2844  1 As 2.22

=====

[6]
Li2AsPbS: relaxed, PBE.

Total magnetization: 0.8 Bohr magnetons per cell
DFT total energy: -2.751 eV per atom

abc: 5.2940 5.2940 5.2044
angles: 90.00 90.00 90.00
Last column: nearest neighbours and their distance in Å.
Fractional positions:
1 Li 0.0000 0.5000 0.0000  2 Pb 2.65
2 Li 0.5000 0.0000 0.0000  2 Pb 2.65
3 As 0.0000 0.0000 0.5000  2 Pb 2.60
4 Pb 0.0000 0.0000 0.0000  2 As 2.60, 4 Li 2.65
5 S 0.5000 0.5000 0.5000  8 Li 3.71, 4 As 3.74

=====

[7]
LiAsPbSe3: relaxed, PBE.

Total magnetization: 0.0 Bohr magnetons per cell
DFT total energy: -3.939 eV per atom

abc: 8.4608 3.9912 9.1241
angles: 90.00 103.64 90.00
Last column: nearest neighbours and their distance in Å.
Fractional positions:
1 Li 0.0887 0.2500 0.0998  4 Se 2.55-2.64
2 Li 0.9113 0.7500 0.9002  4 Se 2.55-2.64
3 As 0.3246 0.7500 0.3781  3 Se 2.50-2.66
4 As 0.6754 0.2500 0.6219  3 Se 2.50-2.66
5 Pb 0.2015 0.2500 0.7653  4 Se 2.96-3.19
6 Pb 0.7985 0.7500 0.2347  4 Se 2.96-3.19
7 Se 0.1180 0.2500 0.3851  1 Li 2.56, 2 As 2.66
8 Se 0.2287 0.7500 0.0098  3 Li 2.55-2.64
9 Se 0.4446 0.7500 0.6558  1 As 2.50
10 Se 0.5554 0.2500 0.3442  1 As 2.50
11 Se 0.7713 0.2500 0.9902  3 Li 2.55-2.64
12 Se 0.8820 0.7500 0.6149  1 Li 2.56, 2 As 2.66

=====

[8]
LiSiAsPb2: relaxed, PBE.

Total magnetization: 0.0 Bohr magnetons per cell
DFT total energy: -3.389 eV per atom

abc: 5.1906 5.1906 4.5367
angles: 90.00 90.00 90.00
Last column: nearest neighbours and their distance in Å.
Fractional positions:
1 Li 0.0000 0.0000 0.0000  2 As 2.27
2 Si 0.5000 0.5000 0.5000  8 Pb 3.45, 4 As 3.67
3 As 0.0000 0.0000 0.5000  2 Li 2.27
4 Pb 0.0000 0.5000 0.0000  2 Li 2.60
5 Pb 0.5000 0.0000 0.0000  2 Li 2.60